(w)
Here is an optimized crystal structure of SmGeS3 from Alexandria. Energies are from PBE.

crystal system	orthorhombic

a = 7.452 Å, b = 6.665 Å, c = 9.660 Å
α = 90.00°, β = 90.00°, γ = 90.00°
Space group Pna2_1 (No. 33)
Unique sites:
Sm 0.118 0.080 0.000 [4 per cell]
Ge 0.178 0.587 0.132 [4 per cell]
S 0.109 0.273 0.512 [4 per cell]
S 0.155 0.799 0.687 [4 per cell]
S 0.161 0.791 0.323 [4 per cell]

---

(x)
Here is an optimized crystal structure of SmGeS3 from Alexandria. Energies are from PBE.

crystal system	monoclinic

a = 6.707 Å, b = 7.415 Å, c = 11.136 Å
α = 90.00°, β = 123.80°, γ = 90.00°
Space group P2_1/c (No. 14)
Unique sites:
Sm 0.211 0.126 0.252 [4 per cell]
Ge 0.154 0.606 0.071 [4 per cell]
S 0.073 0.173 0.927 [4 per cell]
S 0.286 0.691 0.936 [4 per cell]
S 0.430 0.027 0.776 [4 per cell]

---

Most stable structure - (x); separation to the second - 109 meV/atom.

---

(w)
Here is an optimized crystal structure of Sn2GeS4 from Alexandria. Energies are from PBE.

crystal system	monoclinic

a = 9.628 Å, b = 7.735 Å, c = 6.188 Å
α = 90.00°, β = 119.13°, γ = 90.00°
Space group Cm (No. 8)
Unique sites:
Sn 0.000 0.237 0.000 [4 per cell]
Ge 0.116 0.500 0.512 [2 per cell]
S 0.147 0.500 0.901 [2 per cell]
S 0.219 0.252 0.485 [4 per cell]
S 0.377 0.000 0.151 [2 per cell]

---

(x)
Here is an optimized crystal structure of Sn2GeS4 from Alexandria. Energies are from PBE.

crystal system	monoclinic

a = 6.837 Å, b = 6.602 Å, c = 8.451 Å
α = 90.00°, β = 106.33°, γ = 90.00°
Space group P2_1/m (No. 11)
Unique sites:
Sn 0.207 0.250 0.430 [2 per cell]
Sn 0.287 0.250 0.948 [2 per cell]
Ge 0.298 0.750 0.715 [2 per cell]
S 0.066 0.750 0.856 [2 per cell]
S 0.124 0.750 0.449 [2 per cell]
S 0.483 0.506 0.211 [4 per cell]

---

Most stable structure - (x); separation to the second - 8 meV/atom.

---

(w)
Here is an optimized crystal structure of SnGeS3 from Alexandria. Energies are from PBE.

crystal system	monoclinic

a = 7.816 Å, b = 10.631 Å, c = 6.911 Å
α = 90.00°, β = 105.38°, γ = 90.00°
Space group P2_1/c (No. 14)
Unique sites:
Sn 0.120 0.069 0.279 [4 per cell]
Ge 0.299 0.719 0.487 [4 per cell]
S 0.054 0.666 0.906 [4 per cell]
S 0.208 0.520 0.426 [4 per cell]
S 0.486 0.731 0.798 [4 per cell]

---

(x)
Here is an optimized crystal structure of SnGeS3 from Alexandria. Energies are from PBE.

crystal system	orthorhombic

a = 3.749 Å, b = 7.250 Å, c = 13.596 Å
α = 90.00°, β = 90.00°, γ = 90.00°
Space group Amm2 (No. 38)
Unique sites:
Sn 0.000 0.000 0.000 [2 per cell]
Ge 0.500 0.000 0.648 [2 per cell]
S 0.000 0.227 0.603 [4 per cell]
S 0.500 0.000 0.884 [2 per cell]

---

(y)
Here is an optimized crystal structure of SnGeS3 from Alexandria. Energies are from PBE.

crystal system	cubic

a = 4.756 Å, b = 4.756 Å, c = 4.756 Å
α = 90.00°, β = 90.00°, γ = 90.00°
Space group Pm-3m (No. 221)
Unique sites:
Sn 0.000 0.000 0.000 [1 per cell]
Ge 0.500 0.500 0.500 [1 per cell]
S 0.000 0.500 0.500 [3 per cell]

---

Most stable structure - (w); separation to the second - 249 meV/atom.